# 1
DFT (GGA-PBE) results for a geometry-optimized Mg7In2Pb2 structure.

Calculated values
ΔE to the lowest computed polymorph, meV per atom: 35
Calculated total energy, eV per atom: -2.169
SG: Cmmm (65)

The structure in extended XYZ format:
```
11
Lattice="3.4565 -5.2529 0.0000 3.4565 5.2529 0.0000 0.0000 0.0000 8.0319" Properties=species:S:1:pos:R:3 pbc="T T T"
Mg 0.0000 0.0000 0.0000
Mg 1.7283 2.6265 2.4181
Mg 1.7283 2.6265 5.6137
Mg 1.7283 -2.6265 2.4181
Mg 1.7283 -2.6265 5.6137
Mg 3.4565 0.0000 1.6177
Mg 3.4565 0.0000 6.4142
In 3.4565 2.4295 0.0000
In 3.4565 -2.4295 0.0000
Pb 1.6019 0.0000 4.0159
Pb 5.3112 0.0000 4.0159
```

=====

# 2
DFT (GGA-PBE) results for a geometry-optimized SiBI2O structure.

Calculated values
ΔE to the lowest computed polymorph, meV per atom: 129
Calculated total energy, eV per atom: -3.585
Raw formation energy, eV/atom: 0.45
SG: P4/mmm (123)

The structure in extended XYZ format:
```
5
Lattice="5.5841 0.0000 0.0000 0.0000 5.5841 0.0000 0.0000 0.0000 3.5131" Properties=species:S:1:pos:R:3 pbc="T T T"
Si 0.0000 0.0000 0.0000
B 2.7921 2.7921 1.7566
I 0.0000 2.7921 0.0000
I 2.7921 0.0000 0.0000
O 0.0000 0.0000 1.7566
```

=====

# 3
DFT (GGA-PBE) results for a geometry-optimized LiCrCu structure.

Calculated values
ΔE to the lowest computed polymorph, meV per atom: 213
Calculated total energy, eV per atom: -4.753
SG: P6_3/mmc (194)

The structure in extended XYZ format:
```
6
Lattice="4.2806 0.0000 0.0000 -2.1403 3.7071 0.0000 0.0000 0.0000 5.1490" Properties=species:S:1:pos:R:3 pbc="T T T"
Li 0.0000 2.4714 1.2872
Li 2.1403 1.2357 3.8617
Cr 0.0000 2.4714 3.8617
Cr 2.1403 1.2357 1.2872
Cu 0.0000 0.0000 0.0000
Cu 0.0000 0.0000 2.5745
```

=====

# 4
DFT (GGA-PBE) results for a geometry-optimized ZnCo2Mo structure.

Calculated values
Calculated total energy, eV per atom: -6.493
SG: Cm (8)

The structure in extended XYZ format:
```
8
Lattice="8.8739 0.0000 0.0000 0.0000 2.6413 0.0000 -1.0043 0.0000 4.2907" Properties=species:S:1:pos:R:3 pbc="T T T"
Zn 0.0000 0.0000 0.0000
Zn 4.4370 1.3207 0.0000
Co -0.3055 1.3207 2.2212
Co 1.3867 0.0000 3.5181
Co 4.1315 0.0000 2.2212
Co 5.8236 1.3207 3.5181
Mo 2.0814 1.3207 1.4274
Mo 6.5183 0.0000 1.4274
```

=====

# 5
DFT (GGA-PBE) results for a geometry-optimized La3Ho2Th2 structure.

Calculated values
ΔE to the lowest computed polymorph, meV per atom: 39
Calculated total energy, eV per atom: -5.372
SG: P2/m (10)

The structure in extended XYZ format:
```
7
Lattice="5.6435 0.0000 0.0000 0.0000 3.4662 0.0000 -2.8112 0.0000 12.1512" Properties=species:S:1:pos:R:3 pbc="T T T"
La 0.0000 0.0000 0.0000
La 0.0083 0.0000 7.0931
La 2.8240 0.0000 5.0581
Ho 0.0077 1.7331 10.3373
Ho 2.8246 1.7331 1.8139
Th 0.0049 0.0000 3.4432
Th 2.8274 0.0000 8.7080
```

=====

# 6
DFT (GGA-PBE) results for a geometry-optimized CsRb3Ca structure.

Calculated values
ΔE to the lowest computed polymorph, meV per atom: 0
Calculated total energy, eV per atom: -0.872
SG: Pm-3m (221)

The structure in extended XYZ format:
```
5
Lattice="8.0825 0.0000 0.0000 0.0000 8.0825 0.0000 0.0000 0.0000 8.0825" Properties=species:S:1:pos:R:3 pbc="T T T"
Cs 0.0000 0.0000 0.0000
Rb 0.0000 4.0413 4.0413
Rb 4.0413 0.0000 4.0413
Rb 4.0413 4.0413 0.0000
Ca 4.0413 4.0413 4.0413
```

=====

# 7
DFT (GGA-PBE) results for a geometry-optimized PuThOs structure.

Calculated values
ΔE to the lowest computed polymorph, meV per atom: 101
Calculated total energy, eV per atom: -11.054
SG: P6_3/mmc (194)

The structure in extended XYZ format:
```
12
Lattice="4.7436 0.0000 0.0000 -2.3718 4.1081 0.0000 0.0000 0.0000 14.2996" Properties=species:S:1:pos:R:3 pbc="T T T"
Pu 0.0000 2.7387 1.4691
Pu 0.0000 2.7387 5.6807
Pu 2.3718 1.3694 8.6189
Pu 2.3718 1.3694 12.8305
Th 0.0000 0.0000 0.0000
Th 0.0000 0.0000 3.5749
Th 0.0000 0.0000 7.1498
Th 0.0000 0.0000 10.7247
Os 0.0000 2.7387 9.2182
Os 0.0000 2.7387 12.2313
Os 2.3718 1.3694 2.0684
Os 2.3718 1.3694 5.0815
```

=====

# 8
DFT (GGA-PBE) results for a geometry-optimized Ba2MoP structure.

Calculated values
Calculated total energy, eV per atom: -4.574
SG: P4/mmm (123)

The structure in extended XYZ format:
```
4
Lattice="4.0902 0.0000 0.0000 0.0000 4.0902 0.0000 0.0000 0.0000 7.6207" Properties=species:S:1:pos:R:3 pbc="T T T"
Ba 0.0000 0.0000 1.6576
Ba 0.0000 0.0000 5.9631
Mo 2.0451 2.0451 3.8103
P 2.0451 2.0451 0.0000
```

=====

# 9
DFT (GGA-PBE) results for a geometry-optimized BeAg2W structure.

Calculated values
Calculated total energy, eV per atom: -5.027
SG: Cm (8)

The structure in extended XYZ format:
```
8
Lattice="9.7169 0.0000 0.0000 0.0000 2.6708 0.0000 -1.6852 0.0000 4.6991" Properties=species:S:1:pos:R:3 pbc="T T T"
Be 0.0000 0.0000 0.0000
Be 4.8584 1.3354 0.0000
Ag -0.5705 1.3354 2.1317
Ag 1.7478 0.0000 3.1291
Ag 4.2880 0.0000 2.1317
Ag 6.6062 1.3354 3.1291
W 2.0671 1.3354 0.5395
W 6.9256 0.0000 0.5395
```

=====

# 10
DFT (GGA-PBE) results for a geometry-optimized Dy3Co7Ru2 structure.

Calculated values
Calculated total energy, eV per atom: -6.985
SG: R-3m (166)

The structure in extended XYZ format:
```
12
Lattice="2.5063 1.4470 8.2563 -2.5063 1.4470 8.2563 0.0000 -2.8940 8.2563" Properties=species:S:1:pos:R:3 pbc="T T T"
Dy 0.0000 0.0000 0.0000
Dy 0.0000 0.0000 3.4496
Dy 0.0000 0.0000 21.3192
Co -1.2555 -0.7249 10.3333
Co 0.0000 -1.4498 14.4355
Co -1.2555 0.7249 14.4355
Co 0.0000 0.0000 12.3844
Co 1.2555 -0.7249 10.3333
Co 0.0000 1.4498 10.3333
Co 1.2555 0.7249 14.4355
Ru 0.0000 0.0000 8.2650
Ru 0.0000 0.0000 16.5038
```

=====

# 11
DFT (GGA-PBE) results for a geometry-optimized Ba8RhPb2 structure.

Calculated values
Calculated total energy, eV per atom: -3.022
SG: C2/m (12)

The structure in extended XYZ format:
```
11
Lattice="10.5572 -3.0584 0.0000 10.5572 3.0584 0.0000 -2.5018 0.0000 7.5225" Properties=species:S:1:pos:R:3 pbc="T T T"
Ba -0.2424 0.0000 2.2095
Ba 2.4898 0.0000 5.8809
Ba 6.0835 0.0000 4.2529
Ba 8.3429 0.0000 0.7542
Ba 10.2697 0.0000 6.7683
Ba 12.5291 0.0000 3.2696
Ba 16.1228 0.0000 1.6416
Ba 18.8550 0.0000 5.3131
Rh 9.3063 0.0000 3.7613
Pb 3.3822 0.0000 1.5760
Pb 15.2304 0.0000 5.9465
```